Compound: BaTc2Ir
Source: Alexandria
Functional: GGA-PBE
Structure: optimized geometry

Lattice parameters (Å, degrees): 3.025 4.040 7.251 90.00 97.77 90.00
Space group Pm (No. 6)
One atom of each set of equivalent atoms:
Ba1 0.000 0.000 0.000 [1 per cell]
Tc1 0.218 0.500 0.604 [1 per cell]
Tc2 0.631 0.000 0.519 [1 per cell]
Ir1 0.616 0.500 0.295 [1 per cell]

Summary:
As for the formation energy: 0.6056 eV/atom. Its density of states at the Fermi level is 1.037 states/eV/atom. The polymorph energy (0 for the lowest one) is 0.287 eV/atom. As for the uncorrected energy: -7.273 eV/atom.


Compound: TbYCuPb
Source: Alexandria
Functional: GGA-PBE
Structure: optimized geometry

Lattice parameters (Å, degrees): 7.376 7.376 7.376 90.00 90.00 90.00
Space group F-43m (No. 216)
One atom of each set of equivalent atoms:
Tb1 0.000 0.000 0.000 [4 per cell]
Y1 0.000 0.000 0.500 [4 per cell]
Cu1 0.250 0.250 0.250 [4 per cell]
Pb1 0.250 0.250 0.750 [4 per cell]

Summary:
As for the formation energy: -0.3136 eV/atom. Its density of states at the Fermi level is 1.000 states/eV/atom. As for the uncorrected energy: -5.038 eV/atom.


Compound: MgAuI4
Source: Alexandria
Functional: GGA-PBE
Structure: optimized geometry

Lattice parameters (Å, degrees): 7.159 4.341 16.058 90.00 113.34 90.00
Space group P2_1/c (No. 14)
One atom of each set of equivalent atoms:
Mg1 0.000 0.000 0.000 [2 per cell]
Au1 0.500 0.000 0.500 [2 per cell]
I1 0.208 0.097 0.881 [4 per cell]
I2 0.277 0.006 0.610 [4 per cell]

Summary:
Its formation energy from raw total energies is -0.48 eV per atom. Its density of states at the Fermi level is 0.841 states/eV/atom. As for the uncorrected energy: -2.327 eV/atom.


Compound: BiH8Ir2Pd
Source: Alexandria
Functional: GGA-PBE
Structure: optimized geometry

Lattice parameters (Å, degrees): 4.6799 4.6799 17.8261 90.00 90.00 120.00
Space group R-3 (No. 148, hexagonal axes)
One atom of each set of equivalent atoms:
Bi1 0.0000 0.0000 0.0000 [3 per cell]
H1 0.0000 0.0000 0.3159 [6 per cell]
H2 0.0155 0.6481 0.2289 [18 per cell]
Ir1 0.0000 0.0000 0.2265 [6 per cell]
Pd1 0.0000 0.0000 0.5000 [3 per cell]

Summary:
Its density of states at the Fermi level is 0.147 states/eV/atom. As for the uncorrected energy: -4.274 eV/atom.


Compound: LaHoTh2
Source: Alexandria
Functional: GGA-PBE
Structure: optimized geometry

Lattice parameters (Å, degrees): 3.5834 3.5834 35.3713 90.00 90.00 120.00
Space group R3m (No. 160, hexagonal axes)
One atom of each set of equivalent atoms:
La1 0.0000 0.0000 0.0000 [3 per cell]
Ho1 0.0000 0.0000 0.1698 [3 per cell]
Th1 0.0000 0.0000 0.5834 [3 per cell]
Th2 0.0000 0.0000 0.7537 [3 per cell]

Summary:
As for the formation energy: 0.0449 eV/atom. Its density of states at the Fermi level is 1.399 states/eV/atom. The polymorph energy (0 for the lowest one) is 0.017 eV/atom. As for the uncorrected energy: -6.041 eV/atom.


Compound: ErThCdBi
Source: Alexandria
Functional: GGA-PBE
Structure: optimized geometry

Lattice parameters (Å, degrees): 7.708 7.708 7.708 90.00 90.00 90.00
Space group F-43m (No. 216)
One atom of each set of equivalent atoms:
Er1 0.000 0.000 0.000 [4 per cell]
Th1 0.000 0.000 0.500 [4 per cell]
Cd1 0.250 0.250 0.750 [4 per cell]
Bi1 0.250 0.250 0.250 [4 per cell]

Summary:
As for the formation energy: -0.2750 eV/atom. Its density of states at the Fermi level is 1.047 states/eV/atom. As for the uncorrected energy: -4.470 eV/atom.